The following is a GGA-PBE calculation of a relaxed structure of RbCd6Au6, from Alexandria.

POSCAR file:
```
RbCd6Au6
1.0
-2.845 4.970 5.015
2.845 -4.970 5.015
2.845 4.970 -5.015
Rb Cd Au
1 6 6
Cartesian
0.000 0.000 0.000
2.845 0.000 2.015
0.000 3.480 0.000
0.000 0.000 3.531
0.000 0.000 6.499
0.000 6.460 0.000
0.000 4.970 3.001
1.422 2.485 -2.508
1.422 -2.485 2.508
2.845 2.248 0.000
-1.422 2.485 2.508
1.422 2.485 2.508
0.000 2.722 5.015
```

Results
formation energy: -164.8 meV/atom
theoretical density: 11.4 g/cm³
magnetization: 0.000 μB per cell
VASP energy: -2.17 eV per atom